*1*
DFT (PBE-GGA) results for BaCdNiSe3 after structural relaxation.

The structure belongs to space group Cmcm (No. 63); the cell edges are 4.200, 14.209 and 10.169 Å and the angles 90.00°, 90.00° and 90.00°. The asymmetric unit holds Ba at (0.000, 0.236, 0.250), Cd at (0.000, 0.478, 0.750), Ni at (0.000, 0.000, 0.000), Se at (0.000, 0.085, 0.750) and Se at (0.000, 0.377, 0.536).


*2*
DFT (PBE-GGA) results for BaCdNiSe3 after structural relaxation.

The structure belongs to space group Cmcm (No. 63); the cell edges are 4.195, 13.509 and 10.809 Å and the angles 90.00°, 90.00° and 90.00°. The asymmetric unit holds Ba at (0.000, 0.248, 0.250), Cd at (0.000, 0.500, 0.000), Ni at (0.000, 0.034, 0.750), Se at (0.000, 0.135, 0.564) and Se at (0.000, 0.444, 0.750).


Relative energies in eV/atom: *1* 0.113; *2* 0.000


*1*
DFT (PBE-GGA) results for Ba2CdO3 after structural relaxation.

The structure belongs to space group P-3m1 (No. 164); the cell edges are 3.7513, 3.7513 and 8.9147 Å and the angles 90.00°, 90.00° and 120.00°. The asymmetric unit holds Ba at (0.3333, 0.6667, 0.1864), Cd at (0.0000, 0.0000, 0.5000), O at (0.0000, 0.0000, 0.0000) and O at (0.3333, 0.6667, 0.6357).


*2*
DFT (PBE-GGA) results for Ba2CdO3 after structural relaxation.

The structure belongs to space group Immm (No. 71); the cell edges are 3.697, 4.396 and 13.951 Å and the angles 90.00°, 90.00° and 90.00°. The asymmetric unit holds Ba at (0.000, 0.000, 0.151), Cd at (0.000, 0.000, 0.500), O at (0.000, 0.000, 0.338) and O at (0.000, 0.500, 0.500).


Relative energies in eV/atom: *1* 0.049; *2* 0.000


*1*
DFT (PBE-GGA) results for BaCd2P2O8 after structural relaxation.

The structure belongs to space group R-3 (No. 148, hexagonal axes); the cell edges are 5.1321, 5.1321 and 22.0119 Å and the angles 90.00°, 90.00° and 120.00°. The asymmetric unit holds Ba at (0.0000, 0.0000, 0.0000), Cd at (0.0000, 0.0000, 0.1856), P at (0.0000, 0.0000, 0.4156), O at (0.0000, 0.0000, 0.3466) and O at (0.0238, 0.6155, 0.2269).


*2*
DFT (PBE-GGA) results for BaCd2P2O8 after structural relaxation.

The structure belongs to space group P-1 (No. 2); the cell edges are 5.075, 5.491 and 6.885 Å and the angles 77.37°, 82.88° and 65.79°. The asymmetric unit holds Ba at (0.000, 0.000, 0.000), Cd at (0.294, 0.241, 0.337), P at (0.372, 0.383, 0.769), O at (0.158, 0.681, 0.706), O at (0.315, 0.177, 0.669), O at (0.318, 0.642, 0.294) and O at (0.344, 0.289, 0.996).


Relative energies in eV/atom: *1* 0.000; *2* 0.022